No. 1
Density functional theory data (GGA-PBE) for crystalline K2MgPb at its relaxed geometry.

Values from the calculation:
N(E_F) (states/eV/f.u.): 0.78
Formation energy from the elements (eV per atom): -0.064

The structure in extended XYZ format:
```
4
Lattice="-2.5636 3.1629 4.8944 2.5636 -3.1629 4.8944 2.5636 3.1629 -4.8944" Properties=species:S:1:pos:R:3 pbc="T T T"
K 0.0000 0.0000 0.0000
K 0.0000 3.1629 1.9545
Mg 2.5636 0.0000 2.8334
Pb 0.0000 0.0000 4.1423
```

***

No. 2
Density functional theory data (GGA-PBE) for crystalline KMg2Pb6 at its relaxed geometry.

Values from the calculation:
N(E_F) (states/eV/f.u.): 10.25
Formation energy from the elements (eV per atom): 0.269

The structure in extended XYZ format:
```
18
Lattice="0.0000 6.9086 6.9086 6.9086 0.0000 6.9086 6.9086 6.9086 0.0000" Properties=species:S:1:pos:R:3 pbc="T T T"
K 1.7271 1.7271 1.7271
K 12.0900 12.0900 12.0900
Mg 6.9086 3.4543 3.4543
Mg 3.4543 6.9086 3.4543
Mg 3.4543 3.4543 6.9086
Mg 6.9086 6.9086 6.9086
Pb 5.1814 5.1814 1.7342
Pb 5.1814 1.7342 5.1814
Pb 8.6287 5.1814 5.1814
Pb 8.6357 8.6357 5.1884
Pb 8.6357 5.1884 8.6357
Pb 12.0830 8.6357 8.6357
Pb 1.7342 5.1814 5.1814
Pb 5.1814 8.6287 5.1814
Pb 5.1814 5.1814 8.6287
Pb 5.1884 8.6357 8.6357
Pb 8.6357 12.0830 8.6357
Pb 8.6357 8.6357 12.0830
```

***

No. 3
Density functional theory data (GGA-PBE) for crystalline KMg2Pb at its relaxed geometry.

Values from the calculation:
N(E_F) (states/eV/f.u.): 2.24
Formation energy from the elements (eV per atom): 0.125

The structure in extended XYZ format:
```
4
Lattice="4.9799 0.0000 0.0000 0.0000 4.9799 0.0000 0.0000 0.0000 4.8585" Properties=species:S:1:pos:R:3 pbc="T T T"
K 0.0000 0.0000 0.0000
Mg 0.0000 2.4900 2.4293
Mg 2.4900 0.0000 2.4293
Pb 2.4900 2.4900 0.0000
```